1) NiB4Os | PBE-GGA | relaxed

M_tot in μB per cell: 0.00
Volume in Å³/f.u.: 49.73

The structure in CIF format:
```
data_NiB4Os
_chemical_formula_sum 'Ni2 B8 Os2'
_cell_length_a 2.9171
_cell_length_b 5.3611
_cell_length_c 6.3601
_cell_angle_alpha 90.00
_cell_angle_beta 90.00
_cell_angle_gamma 90.00
_symmetry_space_group_name_H-M 'I m m m'
_symmetry_Int_Tables_number 71
_symmetry_space_group_name_Hall '-I 2 2'
loop_
_atom_site_label
_atom_site_fract_x
_atom_site_fract_y
_atom_site_fract_z
Ni1 0.0000 0.0000 0.0000
B1 0.0000 0.3401 0.2638
Os1 0.0000 0.0000 0.5000
```


2) NiB4Os | PBE-GGA | relaxed

M_tot in μB per cell: 0.17
Volume in Å³/f.u.: 50.33

The structure in CIF format:
```
data_NiB4Os
_chemical_formula_sum 'Ni1 B4 Os1'
_cell_length_a 2.9675
_cell_length_b 2.9675
_cell_length_c 6.6004
_cell_angle_alpha 90.00
_cell_angle_beta 90.00
_cell_angle_gamma 120.00
_symmetry_space_group_name_H-M 'P 6/m m m'
_symmetry_Int_Tables_number 191
_symmetry_space_group_name_Hall '-P 6 2'
loop_
_atom_site_label
_atom_site_fract_x
_atom_site_fract_y
_atom_site_fract_z
Ni1 0.0000 0.0000 0.0000
B1 0.3333 0.6667 0.2385
Os1 0.0000 0.0000 0.5000
```


The structure with the greatest stability is 1).